VASP calculation (PBE) on a geometry-optimized Sr2CrMo structure.

a b c (Å): 8.5793 8.5793 6.7081
angles (deg): 50.25 50.25 90.00
With the nearest neighbours (Å) after each atom.
Element x y z (fractional)
1 Sr 0.6017 0.1250 0.2500  2 Sr 2.89, 2 Cr 2.98
2 Sr 0.1483 0.6250 0.2500  2 Sr 2.89, 2 Cr 2.98
3 Sr 0.3750 0.3983 0.7500  2 Sr 2.89, 2 Cr 2.98
4 Sr 0.8750 0.8517 0.7500  2 Sr 2.89, 2 Cr 2.98
5 Mo 0.0000 0.0000 0.0000  2 Cr 2.86
6 Mo 0.7500 0.2500 0.5000  2 Cr 2.86
7 Cr 0.5000 0.5000 0.0000  2 Mo 2.86, 4 Sr 2.98
8 Cr 0.2500 0.7500 0.5000  2 Mo 2.86, 4 Sr 2.98

Results
V (Å³ per atom): 26.340
DOS at the Fermi energy (states/eV per cell): 12.3
Distance to the lowest polymorph of the same formula (meV per atom): 1232.5
Magnetization (μB/f.u.): 2.16
Crystal system: tetragonal
Mass density (Mg/m³): 5.09
Energy of formation (kcal/mol of atoms): 41.49